MnCuGeAu | GGA-PBE | relaxed

Properties
For the total energy, the calculation gives -20.91 eV/cell. Its relative energy among the computed polymorphs is 0.176 eV per formula unit. The calculation puts the total magnetization at 0.891 μB per atom. As for the space group: Pmm2 (25). The formation energy is 62 meV per atom.

Cell and atoms, written as POSCAR:
```
MnCuGeAu
1.0
3.171 0.000 0.000
0.000 2.943 0.000
0.000 0.000 6.541
Cu Au Mn Ge
1 1 1 1
Cartesian
1.586 1.472 5.660
0.000 0.000 0.799
1.586 1.472 2.543
0.000 0.000 4.156
```